## one
A plane-wave DFT calculation with PBE-GGA was carried out for crystalline LiTl2P at its relaxed geometry.

## Properties
Space-group type: C2/m, No. 12
Magnetic moment (μB/f.u.): 0.0

a = 5.0397 Å, b = 5.0397 Å, c = 5.4622 Å
α = 108.29°, β = 108.29°, γ = 46.74°
Closest atoms and distances in Å follow each position.
Atoms (fractional coordinates):
Li1 0.0000 0.0000 0.0000  6 Tl 2.97-3.11
Tl1 0.2344 0.2344 0.7402  3 P 2.91-3.16, 3 Li 2.97-3.11
Tl2 0.7656 0.7656 0.2598  3 P 2.91-3.16, 3 Li 2.97-3.11
P1 0.5000 0.5000 0.5000  6 Tl 2.91-3.16



## two
A plane-wave DFT calculation with PBE-GGA was carried out for crystalline LiTl2P at its relaxed geometry.

## Properties
Space-group type: R-3m, No. 166
Magnetic moment (μB/f.u.): 0.0

a = 7.3483 Å, b = 7.3483 Å, c = 7.3483 Å
α = 32.25°, β = 32.25°, γ = 32.25°
Closest atoms and distances in Å follow each position.
Atoms (fractional coordinates):
Li1 0.0000 0.0000 0.0000  6 Tl 3.04
Tl1 0.2410 0.2410 0.2410  3 P 2.82, 3 Li 3.04
Tl2 0.7590 0.7590 0.7590  3 P 2.82, 3 Li 3.04
P1 0.5000 0.5000 0.5000  6 Tl 2.82



## three
A plane-wave DFT calculation with PBE-GGA was carried out for crystalline LiTl2P at its relaxed geometry.

## Properties
Space-group type: Fm-3m, No. 225
Magnetic moment (μB/f.u.): 0.0

a = 5.1174 Å, b = 5.1174 Å, c = 5.1174 Å
α = 60.00°, β = 60.00°, γ = 60.00°
Closest atoms and distances in Å follow each position.
Atoms (fractional coordinates):
Li1 0.0000 0.0000 0.0000  8 Tl 3.13
Tl1 0.2500 0.2500 0.2500  4 Li 3.13, 4 P 3.13
Tl2 0.7500 0.7500 0.7500  4 Li 3.13, 4 P 3.13
P1 0.5000 0.5000 0.5000  8 Tl 3.13



Of them, three has the lowest stability.



## one
A plane-wave DFT calculation with PBE-GGA was carried out for crystalline Li2TlP2 at its relaxed geometry.

## Properties
Space-group type: I4/mmm, No. 139
Magnetic moment (μB/f.u.): 0.0

a = 5.8566 Å, b = 5.8566 Å, c = 5.8566 Å
α = 135.39°, β = 135.39°, γ = 64.93°
Closest atoms and distances in Å follow each position.
Atoms (fractional coordinates):
Li1 0.2500 0.7500 0.5000  4 P 2.63
Li2 0.7500 0.2500 0.5000  4 P 2.63
Tl1 0.0000 0.0000 0.0000  8 P 3.32, 8 Li 3.32
P1 0.3922 0.3922 0.0000  1 P 2.13
P2 0.6078 0.6078 0.0000  1 P 2.13



## two
A plane-wave DFT calculation with PBE-GGA was carried out for crystalline Li2TlP2 at its relaxed geometry.

## Properties
Space-group type: P4/mbm, No. 127
Magnetic moment (μB/f.u.): 0.0

a = 7.3744 Å, b = 7.3744 Å, c = 3.5779 Å
α = 90.00°, β = 90.00°, γ = 90.00°
Closest atoms and distances in Å follow each position.
Atoms (fractional coordinates):
Li1 0.1604 0.3396 0.0000  4 P 2.67
Li2 0.3396 0.8396 0.0000  4 P 2.67
Li3 0.6604 0.1604 0.0000  4 P 2.67
Li4 0.8396 0.6604 0.0000  4 P 2.67
Tl1 0.0000 0.0000 0.5000  4 P 3.03, 8 Li 3.30
Tl2 0.5000 0.5000 0.5000  4 P 3.03, 8 Li 3.30
P1 0.1022 0.6022 0.5000  1 P 2.13
P2 0.3978 0.1022 0.5000  1 P 2.13
P3 0.6022 0.8978 0.5000  1 P 2.13
P4 0.8978 0.3978 0.5000  1 P 2.13



## three
A plane-wave DFT calculation with PBE-GGA was carried out for crystalline Li2TlP2 at its relaxed geometry.

## Properties
Space-group type: P4/mbm, No. 127
Magnetic moment (μB/f.u.): 0.0

a = 8.0833 Å, b = 8.0833 Å, c = 2.7573 Å
α = 90.00°, β = 90.00°, γ = 90.00°
Closest atoms and distances in Å follow each position.
Atoms (fractional coordinates):
Li1 0.1258 0.3742 0.0000  6 P 2.75-2.76, 3 Li 2.76-2.88
Li2 0.3742 0.8742 0.0000  6 P 2.75-2.76, 3 Li 2.76-2.88
Li3 0.6258 0.1258 0.0000  6 P 2.75-2.76, 3 Li 2.76-2.88
Li4 0.8742 0.6258 0.0000  6 P 2.75-2.76, 3 Li 2.76-2.88
Tl1 0.0000 0.0000 0.0000  2 Tl 2.76
Tl2 0.5000 0.5000 0.0000  2 Tl 2.76
P1 0.1654 0.6654 0.5000  6 Li 2.75-2.76, 2 P 2.76
P2 0.3346 0.1654 0.5000  6 Li 2.75-2.76, 2 P 2.76
P3 0.6654 0.8346 0.5000  6 Li 2.75-2.76, 2 P 2.76
P4 0.8346 0.3346 0.5000  6 Li 2.75-2.76, 2 P 2.76



Of them, three has the lowest stability.